(1)
{
  "formula": "CaAl2Re",
  "functional": "SCAN",
  "state": "single point on PBEsol structure",
  "spacegroup": "I-42d",
  "delta_e_f_ev_per_atom": 0.56,
  "total_energy_ev_per_cell": -188.03,
  "volume_a3_per_atom": 23.6,
  "lattice_angstrom": [[4.6702, 0.0000, 0.0000], [0.0000, 4.6702, 0.0000], [-2.3351, -2.3351, 8.6610]],
  "species": ["Al", "Al", "Al", "Al", "Ca", "Ca", "Re", "Re"],
  "frac_coords": [[0.1250, 0.9699, 0.7500], [0.0301, 0.3750, 0.2500], [0.2199, 0.8750, 0.2500], [0.6250, 0.7801, 0.7500], [0.7500, 0.2500, 0.5000], [0.5000, 0.5000, 0.0000], [0.2500, 0.7500, 0.5000], [0.0000, 0.0000, 0.0000]]
}

***

(2)
{
  "formula": "LiCo2N2",
  "functional": "SCAN",
  "state": "single point on PBEsol structure",
  "raw_formation_energy_ev_per_atom": 0.160,
  "spacegroup": "I4/mmm",
  "total_energy_ev_per_cell": -54.78,
  "volume_a3_per_atom": 9.1,
  "lattice_angstrom": [[-0.4755, -0.8720, -3.4108], [2.5797, -2.4284, 0.2612], [-3.4736, -0.8179, 2.5433]],
  "species": ["Co", "Co", "N", "N", "Li"],
  "frac_coords": [[0.6639, 0.6639, 0.3279], [0.3361, 0.3361, 0.6721], [0.2500, 0.7500, 0.5000], [0.7500, 0.2500, 0.5000], [0.0000, 0.0000, 0.0000]]
}

***

(3)
{
  "formula": "PbSeI2N",
  "functional": "SCAN",
  "state": "single point on PBEsol structure",
  "raw_formation_energy_ev_per_atom": 0.614,
  "spacegroup": "P4/mmm",
  "total_energy_ev_per_cell": -175.56,
  "volume_a3_per_atom": 27.3,
  "lattice_angstrom": [[3.7055, 0.0000, 0.0000], [0.0000, 6.0724, 0.0000], [0.0000, 0.0000, 6.0724]],
  "species": ["Se", "Pb", "I", "I", "N"],
  "frac_coords": [[0.0000, 0.0000, 0.0000], [0.5000, 0.5000, 0.5000], [0.0000, 0.5000, 0.0000], [0.0000, 0.0000, 0.5000], [0.5000, 0.0000, 0.0000]]
}

***

(4)
{
  "formula": "BW",
  "functional": "SCAN",
  "state": "single point on PBEsol structure",
  "spacegroup": "Cmcm",
  "delta_e_f_ev_per_atom": -0.29,
  "total_energy_ev_per_cell": -155.38,
  "volume_a3_per_atom": 10.3,
  "lattice_angstrom": [[-2.4702, 0.8905, 1.6175], [1.5715, -0.5236, 2.6883], [2.1916, 3.7213, 1.2981]],
  "species": ["B", "B", "W", "W"],
  "frac_coords": [[0.7500, 0.5617, 0.8766], [0.2500, 0.4383, 0.1234], [0.7500, 0.8554, 0.2892], [0.2500, 0.1446, 0.7108]]
}

***

(5)
{
  "formula": "CdAsRh2",
  "functional": "SCAN",
  "state": "single point on PBEsol structure",
  "spacegroup": "C2/m",
  "delta_e_f_ev_per_atom": -0.28,
  "total_energy_ev_per_cell": -119.26,
  "volume_a3_per_atom": 16.4,
  "lattice_angstrom": [[-1.1640, -1.9903, 1.9400], [1.6120, -1.6082, -3.0228], [5.1255, 0.6900, 3.7834]],
  "species": ["Cd", "Rh", "Rh", "As"],
  "frac_coords": [[0.0000, 0.0000, 0.5000], [0.2425, 0.4850, 0.1967], [0.7575, 0.5150, 0.8033], [0.5000, 0.0000, 0.0000]]
}

***

(6)
{
  "formula": "La2YSc",
  "functional": "SCAN",
  "state": "single point on PBEsol structure",
  "spacegroup": "Imm2",
  "delta_e_f_ev_per_atom": 0.09,
  "total_energy_ev_per_cell": -127.93,
  "volume_a3_per_atom": 30.9,
  "lattice_angstrom": [[3.7741, 0.0000, 0.0000], [0.0000, 5.6929, 0.0000], [-1.8870, -2.8464, 5.7450]],
  "species": ["La", "La", "Sc", "Y"],
  "frac_coords": [[0.9977, 0.9977, 0.9954], [0.7679, 0.2679, 0.5357], [0.5024, 0.5024, 0.0048], [0.2320, 0.7320, 0.4640]]
}

***

(7)
{
  "formula": "K3CdO",
  "functional": "SCAN",
  "state": "single point on PBEsol structure",
  "raw_formation_energy_ev_per_atom": -0.625,
  "spacegroup": "Pm-3m",
  "total_energy_ev_per_cell": -64.76,
  "volume_a3_per_atom": 30.7,
  "lattice_angstrom": [[-0.9065, 4.7067, -2.3906], [2.1076, -1.9012, -4.5424], [-4.8401, -1.7095, -1.5302]],
  "species": ["K", "K", "K", "Cd", "O"],
  "frac_coords": [[0.0000, 0.5000, 0.0000], [0.5000, 0.0000, 0.0000], [0.0000, 0.0000, 0.5000], [0.5000, 0.5000, 0.5000], [0.0000, 0.0000, 0.0000]]
}

***

(8)
{
  "formula": "YIrRu2",
  "functional": "SCAN",
  "state": "single point on PBEsol structure",
  "spacegroup": "P4/mmm",
  "delta_e_f_ev_per_atom": 0.12,
  "total_energy_ev_per_cell": -168.13,
  "volume_a3_per_atom": 16.1,
  "lattice_angstrom": [[-1.9823, -1.2509, -1.6230], [1.9506, -0.4602, -2.0277], [1.7429, -6.9976, 3.2648]],
  "species": ["Ru", "Ru", "Y", "Ir"],
  "frac_coords": [[0.0000, 0.0000, 0.7166], [0.0000, 0.0000, 0.2834], [0.5000, 0.5000, 0.0000], [0.5000, 0.5000, 0.5000]]
}

***

(9)
{
  "formula": "CsTiSeBr2",
  "functional": "SCAN",
  "state": "single point on PBEsol structure",
  "raw_formation_energy_ev_per_atom": -1.458,
  "spacegroup": "P4/mmm",
  "total_energy_ev_per_cell": -120.13,
  "volume_a3_per_atom": 28.0,
  "lattice_angstrom": [[4.9394, 0.0000, 0.0000], [0.0000, 5.3240, 0.0000], [0.0000, 0.0000, 5.3240]],
  "species": ["Cs", "Br", "Br", "Se", "Ti"],
  "frac_coords": [[0.5000, 0.5000, 0.5000], [0.0000, 0.5000, 0.0000], [0.0000, 0.0000, 0.5000], [0.5000, 0.0000, 0.0000], [0.0000, 0.0000, 0.0000]]
}

***

(10)
{
  "formula": "TlZn2GaGe",
  "functional": "SCAN",
  "state": "single point on PBEsol structure",
  "spacegroup": "P4/mmm",
  "delta_e_f_ev_per_atom": 0.52,
  "total_energy_ev_per_cell": -132.24,
  "volume_a3_per_atom": 24.4,
  "lattice_angstrom": [[4.6499, 0.0000, 0.0000], [0.0000, 4.6499, 0.0000], [0.0000, 0.0000, 5.6501]],
  "species": ["Tl", "Ge", "Ga", "Zn", "Zn"],
  "frac_coords": [[0.0000, 0.0000, 0.5000], [0.0000, 0.0000, 0.0000], [0.5000, 0.5000, 0.5000], [0.5000, 0.0000, 0.0000], [0.0000, 0.5000, 0.0000]]
}

***

(11)
{
  "formula": "Co3Sb",
  "functional": "SCAN",
  "state": "single point on PBEsol structure",
  "raw_formation_energy_ev_per_atom": 0.333,
  "spacegroup": "P4/mmm",
  "total_energy_ev_per_cell": -87.84,
  "volume_a3_per_atom": 12.6,
  "lattice_angstrom": [[3.1245, 0.0000, 0.0000], [0.0000, 3.1245, 0.0000], [0.0000, 0.0000, 5.1716]],
  "species": ["Sb", "Co", "Co", "Co"],
  "frac_coords": [[0.5000, 0.5000, 0.0000], [0.0000, 0.0000, 0.7317], [0.5000, 0.5000, 0.5000], [0.0000, 0.0000, 0.2683]]
}

***

(12)
{
  "formula": "MgCdSe2F",
  "functional": "SCAN",
  "state": "single point on PBEsol structure",
  "raw_formation_energy_ev_per_atom": -0.759,
  "spacegroup": "P4/mmm",
  "total_energy_ev_per_cell": -82.88,
  "volume_a3_per_atom": 20.9,
  "lattice_angstrom": [[-2.7204, 0.0605, -2.2442], [-0.4519, -5.4040, 0.4022], [-3.4315, 0.5978, 4.1757]],
  "species": ["F", "Se", "Se", "Cd", "Mg"],
  "frac_coords": [[0.0000, 0.0000, 0.0000], [0.0000, 0.5000, 0.0000], [0.0000, 0.0000, 0.5000], [0.5000, 0.5000, 0.5000], [0.5000, 0.0000, 0.0000]]
}

***

(13)
{
  "formula": "Pm2CuSn",
  "functional": "SCAN",
  "state": "single point on PBEsol structure",
  "spacegroup": "Fm-3m",
  "delta_e_f_ev_per_atom": -0.49,
  "total_energy_ev_per_cell": -141.05,
  "volume_a3_per_atom": 24.7,
  "lattice_angstrom": [[-3.9607, 3.3382, -0.2610], [-3.3715, 0.3357, 3.9267], [-0.0453, 4.2118, 3.0262]],
  "species": ["Pm", "Pm", "Cu", "Sn"],
  "frac_coords": [[0.7500, 0.7500, 0.7500], [0.2500, 0.2500, 0.2500], [0.5000, 0.5000, 0.5000], [0.0000, 0.0000, 0.0000]]
}